This record from the Alexandria database describes an optimized crystal structure of Sn5B2Pd12. The functional is PBE.

Cell: 5.788 7.886 8.510 Å, 108.17 90.00 111.53°
Element x y z (fractional)
Sn1 0.281 0.561 0.715
Sn2 0.317 0.633 0.227
Sn3 0.000 0.000 0.500
Sn4 0.683 0.367 0.773
Sn5 0.719 0.439 0.285
B1 0.740 0.000 0.000
B2 0.260 0.000 0.000
Pd1 0.034 0.067 0.189
Pd2 0.090 0.700 0.987
Pd3 0.610 0.700 0.987
Pd4 0.107 0.707 0.512
Pd5 0.600 0.707 0.512
Pd6 0.487 0.974 0.802
Pd7 0.513 0.026 0.198
Pd8 0.893 0.293 0.488
Pd9 0.400 0.293 0.488
Pd10 0.910 0.300 0.013
Pd11 0.390 0.300 0.013
Pd12 0.966 0.933 0.811

Space group = C2/m, No. 12
Final energy = -5.345 eV/atom
Energy relative to the elements = -309 meV/atom


This record from the Alexandria database describes an optimized crystal structure of Pm8MgTl2. The functional is PBE.

Cell: 5.121 8.351 9.072 Å, 110.73 106.40 90.00°
Element x y z (fractional)
Pm1 0.596 0.457 0.193
Pm2 0.318 0.058 0.637
Pm3 0.144 0.205 0.288
Pm4 0.054 0.730 0.109
Pm5 0.856 0.795 0.712
Pm6 0.682 0.942 0.363
Pm7 0.404 0.543 0.807
Pm8 0.946 0.270 0.891
Mg1 0.500 0.000 0.000
Tl1 0.224 0.644 0.448
Tl2 0.776 0.356 0.552

Space group = C2/m, No. 12
Final energy = -4.152 eV/atom
Energy relative to the elements = -122 meV/atom


This record from the Alexandria database describes an optimized crystal structure of Dy2Zn5Ag. The functional is PBE.

Cell: 4.281 8.388 8.956 Å, 90.00 90.00 104.78°
Element x y z (fractional)
Dy1 0.803 0.607 0.750
Dy2 0.197 0.393 0.250
Dy3 0.000 0.000 0.000
Dy4 0.000 0.000 0.500
Zn1 0.189 0.378 0.893
Zn2 0.811 0.622 0.107
Zn3 0.189 0.378 0.607
Zn4 0.811 0.622 0.393
Zn5 0.349 0.698 0.978
Zn6 0.651 0.302 0.022
Zn7 0.349 0.698 0.522
Zn8 0.651 0.302 0.478
Zn9 0.608 0.217 0.750
Zn10 0.392 0.783 0.250
Ag1 0.450 0.900 0.750
Ag2 0.550 0.100 0.250

Space group = Cmcm, No. 63
Final energy = -2.606 eV/atom
Energy relative to the elements = -303 meV/atom


This record from the Alexandria database describes an optimized crystal structure of ZrAgTe. The functional is PBE.

Cell: 3.884 3.882 11.330 Å, 90.00 90.00 120.01°
Element x y z (fractional)
Zr1 0.611 0.222 0.000
Zr2 0.278 0.556 0.500
Te1 0.611 0.222 0.334
Te2 0.611 0.222 0.666
Ag1 0.278 0.555 0.835
Ag2 0.278 0.555 0.165

Space group = P-6m2, No. 187
Final energy = -5.042 eV/atom